Computed, not measured: an optimized crystal structure of Pu2Zn4PdAu3 at the PBE level of DFT.

Properties
total magnetic moment: 11.4 μB/cell
crystal system: tetragonal
density: 12.1 g/cm³
energy of formation: -0.34 eV per atom
D(E_F): 25.822 states/eV/f.u.
total energy: -52.13 eV for the cell shown

Lattice parameters (Å, degrees): 4.117 4.117 11.713 90.00 90.00 90.00
Space group P-4m2 (No. 115)
Asymmetric unit:
Pu 0.000 0.500 0.247 x2
Zn 0.000 0.000 0.500 x1
Zn 0.000 0.500 0.865 x2
Zn 0.500 0.500 0.500 x1
Pd 0.500 0.500 0.000 x1
Au 0.000 0.000 0.000 x1
Au 0.000 0.500 0.646 x2

***

Computed, not measured: an optimized crystal structure of RbPdAu at the PBE level of DFT.

Properties
total magnetic moment: 0.0 μB/cell
crystal system: orthorhombic
density: 7.9 g/cm³
energy of formation: -0.01 eV per atom
D(E_F): 1.293 states/eV/f.u.
total energy: -151.28 eV for the cell shown

Lattice parameters (Å, degrees): 7.981 11.129 14.794 90.00 90.00 90.00
Space group Fddd (No. 70, origin choice 2)
Asymmetric unit:
Rb 0.000 0.000 0.000 x16
Pd 0.125 0.000 0.625 x16
Au 0.125 0.125 0.463 x16

***

Computed, not measured: an optimized crystal structure of Rb2PdAu2 at the PBE level of DFT.

Properties
total magnetic moment: 0.0 μB/cell
crystal system: tetragonal
density: 6.0 g/cm³
energy of formation: -0.03 eV per atom
D(E_F): 1.733 states/eV/f.u.
total energy: -55.41 eV for the cell shown

Lattice parameters (Å, degrees): 4.877 4.877 31.280 90.00 90.00 90.00
Space group I4_1/amd (No. 141, origin choice 2)
Asymmetric unit:
Rb 0.000 0.250 0.053 x8
Pd 0.000 0.250 0.375 x4
Au 0.000 0.250 0.163 x8

***

Computed, not measured: an optimized crystal structure of RbPdAu at the PBE level of DFT.

Properties
total magnetic moment: 0.0 μB/cell
crystal system: tetragonal
density: 7.7 g/cm³
energy of formation: -0.03 eV per atom
D(E_F): 1.077 states/eV/f.u.
total energy: -19.05 eV for the cell shown

Lattice parameters (Å, degrees): 3.762 3.762 11.839 90.00 90.00 90.00
Space group I4mm (No. 107)
Asymmetric unit:
Rb 0.000 0.000 0.000 x2
Pd 0.000 0.000 0.268 x2
Au 0.000 0.000 0.726 x2

***

Computed, not measured: an optimized crystal structure of RbPd2Au at the PBE level of DFT.

Properties
total magnetic moment: 0.0 μB/cell
crystal system: tetragonal
density: 6.9 g/cm³
energy of formation: 0.22 eV per atom
D(E_F): 3.227 states/eV/f.u.
total energy: -55.06 eV for the cell shown

Lattice parameters (Å, degrees): 5.053 5.053 18.593 90.00 90.00 90.00
Space group I-42d (No. 122)
Asymmetric unit:
Rb 0.000 0.000 0.000 x4
Pd 0.060 0.250 0.625 x8
Au 0.000 0.000 0.500 x4

***

Computed, not measured: an optimized crystal structure of Rb2PdAu2 at the PBE level of DFT.

Properties
total magnetic moment: 0.0 μB/cell
crystal system: tetragonal
density: 6.6 g/cm³
energy of formation: 0.37 eV per atom
D(E_F): 0.120 states/eV/f.u.
total energy: -23.66 eV for the cell shown

Lattice parameters (Å, degrees): 8.930 8.930 4.255 90.00 90.00 90.00
Space group P4/mbm (No. 127)
Asymmetric unit:
Rb 0.148 0.352 0.000 x4
Pd 0.000 0.000 0.000 x2
Au 0.156 0.656 0.500 x4